# PBE-GGA Ba2HgAu, relaxed
# spin magnetization	0.0000	μB/atom
# ΔE_f	-0.516	eV per atom
# theoretical density	6959	kg/m³
data_Ba2HgAu
_cell_length_a 4.341
_cell_length_b 4.529
_cell_length_c 16.314
_cell_angle_alpha 90.00
_cell_angle_beta 90.00
_cell_angle_gamma 90.00
_symmetry_space_group_name_H-M 'I m m 2'
_symmetry_Int_Tables_number 44
loop_
_symmetry_equiv_pos_as_xyz
'x,y,z'
'-x,-y,z'
'-x,y,z'
'x,-y,z'
'x+1/2,y+1/2,z+1/2'
'-x+1/2,-y+1/2,z+1/2'
'-x+1/2,y+1/2,z+1/2'
'x+1/2,-y+1/2,z+1/2'
loop_
_atom_site_label
_atom_site_type_symbol
_atom_site_fract_x
_atom_site_fract_y
_atom_site_fract_z
Ba1 Ba 0.000 0.000 0.000
Ba2 Ba 0.000 0.500 0.235
Hg1 Hg 0.000 0.500 0.832
Au1 Au 0.000 0.000 0.577

***

# PBE-GGA Ti2CSe, relaxed
# spin magnetization	0.0940	μB/atom
# uncorrected formation energy	53.7	meV per atom
# theoretical density	5822	kg/m³
data_Ti2CSe
_cell_length_a 5.972
_cell_length_b 5.972
_cell_length_c 5.972
_cell_angle_alpha 90.00
_cell_angle_beta 90.00
_cell_angle_gamma 90.00
_symmetry_space_group_name_H-M 'F m -3 m'
_symmetry_Int_Tables_number 225
_symmetry_space_group_name_Hall '-F 4 2 3'
loop_
_atom_site_label
_atom_site_type_symbol
_atom_site_fract_x
_atom_site_fract_y
_atom_site_fract_z
Ti1 Ti 0.250 0.250 0.250
C1 C 0.000 0.000 0.000
Se1 Se 0.000 0.000 0.500

***

# PBE-GGA KPdI6, relaxed
# spin magnetization	0.0000	μB/atom
# uncorrected formation energy	-384.5	meV per atom
# theoretical density	3546	kg/m³
data_KPdI6
_cell_length_a 12.008
_cell_length_b 11.247
_cell_length_c 8.275
_cell_angle_alpha 90.00
_cell_angle_beta 130.53
_cell_angle_gamma 90.00
_symmetry_space_group_name_H-M 'C 1 2/m 1'
_symmetry_Int_Tables_number 12
loop_
_symmetry_equiv_pos_as_xyz
'x,y,z'
'-x,-y,-z'
'-x,y,-z'
'x,-y,z'
'x+1/2,y+1/2,z'
'-x+1/2,-y+1/2,-z'
'-x+1/2,y+1/2,-z'
'x+1/2,-y+1/2,z'
loop_
_atom_site_label
_atom_site_type_symbol
_atom_site_fract_x
_atom_site_fract_y
_atom_site_fract_z
K1 K 0.000 0.000 0.000
Pd1 Pd 0.000 0.500 0.500
I1 I 0.168 0.500 0.923
I2 I 0.196 0.320 0.589

***

# PBE-GGA CsNaSb, relaxed
# spin magnetization	0.0000	μB/atom
# uncorrected formation energy	-248.6	meV per atom
# theoretical density	3664	kg/m³
data_CsNaSb
_cell_length_a 4.321
_cell_length_b 4.321
_cell_length_c 13.480
_cell_angle_alpha 90.00
_cell_angle_beta 90.00
_cell_angle_gamma 90.00
_symmetry_space_group_name_H-M 'I 4 m m'
_symmetry_Int_Tables_number 107
_symmetry_space_group_name_Hall 'I 4 -2'
loop_
_atom_site_label
_atom_site_type_symbol
_atom_site_fract_x
_atom_site_fract_y
_atom_site_fract_z
Cs1 Cs 0.000 0.000 0.000
Na1 Na 0.000 0.000 0.736
Sb1 Sb 0.000 0.000 0.305

***

# PBE-GGA Pr2InI, relaxed
# spin magnetization	0.0000	μB/atom
# uncorrected formation energy	-660.6	meV per atom
# theoretical density	6333	kg/m³
data_Pr2InI
_cell_length_a 5.467
_cell_length_b 5.462
_cell_length_c 9.591
_cell_angle_alpha 90.00
_cell_angle_beta 106.51
_cell_angle_gamma 90.00
_symmetry_space_group_name_H-M 'C 1 2 1'
_symmetry_Int_Tables_number 5
loop_
_symmetry_equiv_pos_as_xyz
'x,y,z'
'-x,y,-z'
'x+1/2,y+1/2,z'
'-x+1/2,y+1/2,-z'
loop_
_atom_site_label
_atom_site_type_symbol
_atom_site_fract_x
_atom_site_fract_y
_atom_site_fract_z
Pr1 Pr 0.106 0.000 0.212
In1 In 0.000 0.500 0.000
I1 I 0.000 0.251 0.500

***

# PBE-GGA AlAsPb, relaxed
# spin magnetization	0.0000	μB/atom
# ΔE_f	0.435	eV per atom
# theoretical density	5942	kg/m³
data_AlAsPb
_cell_length_a 7.017
_cell_length_b 7.017
_cell_length_c 7.017
_cell_angle_alpha 90.00
_cell_angle_beta 90.00
_cell_angle_gamma 90.00
_symmetry_space_group_name_H-M 'F -4 3 m'
_symmetry_Int_Tables_number 216
_symmetry_space_group_name_Hall 'F -4 2 3'
loop_
_atom_site_label
_atom_site_type_symbol
_atom_site_fract_x
_atom_site_fract_y
_atom_site_fract_z
Al1 Al 0.000 0.000 0.000
As1 As 0.000 0.000 0.500
Pb1 Pb 0.250 0.250 0.750